Compound: Li2VO2F2
Source: Alexandria
Functional: PBE+U
Structure: optimized geometry

* relative energy among the computed polymorphs: 6 meV per atom

Structure (CIF):
```
data_Li2VO2F2
_space_group_name_H-M_alt 'R 3 m'
_space_group_IT_number 160
_space_group_name_Hall 'R 3 -2"'
_cell_length_a 5.8574
_cell_length_b 5.8574
_cell_length_c 14.6944
_cell_angle_alpha 90.00
_cell_angle_beta 90.00
_cell_angle_gamma 120.00
loop_
_atom_site_label
_atom_site_fract_x
_atom_site_fract_y
_atom_site_fract_z
_atom_site_occupancy
Li1 0.0000 0.0000 0.0000 1
Li2 0.0127 0.5063 0.8658 1
V1 0.0000 0.0000 0.3721 1
V2 0.0000 0.0000 0.7383 1
O1 0.0000 0.0000 0.6238 1
O2 0.0020 0.5010 0.1106 1
F1 0.0000 0.0000 0.1278 1
F2 0.1786 0.3571 0.9527 1
```


Compound: Mn2Tl3SnF9
Source: Alexandria
Functional: PBE+U
Structure: optimized geometry

* final energy: -76.45 eV/cell

Structure (CIF):
```
data_Mn2Tl3SnF9
_space_group_name_H-M_alt 'P -3 m 1'
_space_group_IT_number 164
_space_group_name_Hall '-P 3 2"'
_cell_length_a 6.2441
_cell_length_b 6.2441
_cell_length_c 7.8393
_cell_angle_alpha 90.00
_cell_angle_beta 90.00
_cell_angle_gamma 120.00
loop_
_atom_site_label
_atom_site_fract_x
_atom_site_fract_y
_atom_site_fract_z
_atom_site_occupancy
Mn1 0.3333 0.6667 0.1560 1
Tl1 0.0000 0.0000 0.0000 1
Tl2 0.3333 0.6667 0.6903 1
Sn1 0.0000 0.0000 0.5000 1
F1 0.0000 0.5000 0.0000 1
F2 0.1728 0.3455 0.3119 1
```


Please write out number 2 again, unchanged.
Compound: Mn2Tl3SnF9
Source: Alexandria
Functional: PBE+U
Structure: optimized geometry

* final energy: -76.45 eV/cell

Structure (CIF):
```
data_Mn2Tl3SnF9
_space_group_name_H-M_alt 'P -3 m 1'
_space_group_IT_number 164
_space_group_name_Hall '-P 3 2"'
_cell_length_a 6.2441
_cell_length_b 6.2441
_cell_length_c 7.8393
_cell_angle_alpha 90.00
_cell_angle_beta 90.00
_cell_angle_gamma 120.00
loop_
_atom_site_label
_atom_site_fract_x
_atom_site_fract_y
_atom_site_fract_z
_atom_site_occupancy
Mn1 0.3333 0.6667 0.1560 1
Tl1 0.0000 0.0000 0.0000 1
Tl2 0.3333 0.6667 0.6903 1
Sn1 0.0000 0.0000 0.5000 1
F1 0.0000 0.5000 0.0000 1
F2 0.1728 0.3455 0.3119 1
```